[1]
{
  "formula": "Pr5TmCu6",
  "functional": "PBE-GGA",
  "state": "optimized geometry",
  "lattice_angstrom": [[8.0415, -3.5696, 0.0000], [8.0415, 3.5696, 0.0000], [-1.5897, 0.0000, 4.8235]],
  "species": ["Pr", "Pr", "Pr", "Pr", "Pr", "Tm", "Cu", "Cu", "Cu", "Cu", "Cu", "Cu"],
  "fractional_positions": [[0.0000, 0.0000, 0.0000], [0.1656, 0.1656, 0.6650], [0.3320, 0.3320, 0.3334], [0.6680, 0.6680, 0.6666], [0.8344, 0.8344, 0.3350], [0.5000, 0.5000, 0.0000], [0.1032, 0.5777, 0.8431], [0.2749, 0.7251, 0.5000], [0.4223, 0.8968, 0.1569], [0.5777, 0.1032, 0.8431], [0.7251, 0.2749, 0.5000], [0.8968, 0.4223, 0.1569]],
  "spacegroup": "C2/m, No. 12",
  "ef_ev_per_atom": -0.143
}

---

[2]
{
  "formula": "Pr2TmCu6",
  "functional": "PBE-GGA",
  "state": "optimized geometry",
  "lattice_angstrom": [[7.3943, 0.0000, 0.0000], [-3.6971, 6.4036, 0.0000], [0.0000, 0.0000, 3.7043]],
  "species": ["Pr", "Pr", "Tm", "Cu", "Cu", "Cu", "Cu", "Cu", "Cu"],
  "fractional_positions": [[0.3333, 0.6667, 0.0000], [0.6667, 0.3333, 0.0000], [0.0000, 0.0000, 0.0000], [0.0000, 0.3293, 0.5000], [0.0000, 0.6707, 0.5000], [0.3293, 0.0000, 0.5000], [0.3293, 0.3293, 0.5000], [0.6707, 0.0000, 0.5000], [0.6707, 0.6707, 0.5000]],
  "spacegroup": "P6/mmm, No. 191",
  "ef_ev_per_atom": -0.213
}

---

[3]
{
  "formula": "PrTmCu2",
  "functional": "PBE-GGA",
  "state": "optimized geometry",
  "lattice_angstrom": [[7.0523, 0.0000, 0.0000], [0.0000, 7.0523, 0.0000], [0.0000, 0.0000, 7.0523]],
  "species": ["Pr", "Pr", "Pr", "Pr", "Tm", "Tm", "Tm", "Tm", "Cu", "Cu", "Cu", "Cu", "Cu", "Cu", "Cu", "Cu"],
  "fractional_positions": [[0.0000, 0.0000, 0.0000], [0.0000, 0.5000, 0.5000], [0.5000, 0.0000, 0.5000], [0.5000, 0.5000, 0.0000], [0.0000, 0.0000, 0.5000], [0.0000, 0.5000, 0.0000], [0.5000, 0.0000, 0.0000], [0.5000, 0.5000, 0.5000], [0.2500, 0.2500, 0.2500], [0.2500, 0.2500, 0.7500], [0.2500, 0.7500, 0.2500], [0.2500, 0.7500, 0.7500], [0.7500, 0.2500, 0.2500], [0.7500, 0.2500, 0.7500], [0.7500, 0.7500, 0.2500], [0.7500, 0.7500, 0.7500]],
  "spacegroup": "Fm-3m, No. 225",
  "ef_ev_per_atom": -0.180,
  "polymorph_energy_kj_per_mol_atoms": 2.85
}

---

[4]
{
  "formula": "PrTmCu",
  "functional": "PBE-GGA",
  "state": "optimized geometry",
  "lattice_angstrom": [[4.7525, 0.0000, 0.0000], [0.0000, 4.7525, 0.0000], [0.0000, 0.0000, 7.0097]],
  "species": ["Pr", "Pr", "Tm", "Tm", "Cu", "Cu"],
  "fractional_positions": [[0.2500, 0.2500, 0.1124], [0.7500, 0.7500, 0.8876], [0.2500, 0.7500, 0.5000], [0.7500, 0.2500, 0.5000], [0.2500, 0.2500, 0.7150], [0.7500, 0.7500, 0.2850]],
  "spacegroup": "P4/nmm, No. 129",
  "ef_ev_per_atom": -0.130,
  "polymorph_energy_kj_per_mol_atoms": 0.00
}

---

[5]
{
  "formula": "PrTm2Cu6",
  "functional": "PBE-GGA",
  "state": "optimized geometry",
  "lattice_angstrom": [[7.3313, 0.0000, 0.0000], [-3.6657, 6.3491, 0.0000], [0.0000, 0.0000, 3.6087]],
  "species": ["Pr", "Tm", "Tm", "Cu", "Cu", "Cu", "Cu", "Cu", "Cu"],
  "fractional_positions": [[0.0000, 0.0000, 0.0000], [0.3333, 0.6667, 0.0000], [0.6667, 0.3333, 0.0000], [0.0000, 0.3370, 0.5000], [0.0000, 0.6630, 0.5000], [0.3370, 0.0000, 0.5000], [0.3370, 0.3370, 0.5000], [0.6630, 0.0000, 0.5000], [0.6630, 0.6630, 0.5000]],
  "spacegroup": "P6/mmm, No. 191",
  "ef_ev_per_atom": -0.233
}

---

[6]
{
  "formula": "Pr4TmCu5",
  "functional": "PBE-GGA",
  "state": "optimized geometry",
  "lattice_angstrom": [[3.5571, 0.0000, 0.0000], [0.0000, 3.5571, 0.0000], [0.0000, 0.0000, 18.1086]],
  "species": ["Pr", "Pr", "Pr", "Pr", "Tm", "Cu", "Cu", "Cu", "Cu", "Cu"],
  "fractional_positions": [[0.0000, 0.0000, 0.1018], [0.0000, 0.0000, 0.3065], [0.0000, 0.0000, 0.6935], [0.0000, 0.0000, 0.8982], [0.0000, 0.0000, 0.5000], [0.5000, 0.5000, 0.0000], [0.5000, 0.5000, 0.2032], [0.5000, 0.5000, 0.4144], [0.5000, 0.5000, 0.5856], [0.5000, 0.5000, 0.7968]],
  "spacegroup": "P4/mmm, No. 123",
  "ef_ev_per_atom": -0.151
}

---

[7]
{
  "formula": "PrTm2Cu9",
  "functional": "PBE-GGA",
  "state": "optimized geometry",
  "lattice_angstrom": [[2.6128, 1.5085, 8.1856], [-2.6128, 1.5085, 8.1856], [0.0000, -3.0170, 8.1856]],
  "species": ["Pr", "Tm", "Tm", "Cu", "Cu", "Cu", "Cu", "Cu", "Cu", "Cu", "Cu", "Cu"],
  "fractional_positions": [[0.0000, 0.0000, 0.0000], [0.1441, 0.1441, 0.1441], [0.8559, 0.8559, 0.8559], [0.0834, 0.5837, 0.5837], [0.3324, 0.3324, 0.3324], [0.4163, 0.4163, 0.9166], [0.4163, 0.9166, 0.4163], [0.5000, 0.5000, 0.5000], [0.5837, 0.0834, 0.5837], [0.5837, 0.5837, 0.0834], [0.6676, 0.6676, 0.6676], [0.9166, 0.4163, 0.4163]],
  "spacegroup": "R-3m, No. 166",
  "ef_ev_per_atom": -0.201
}

---

[8]
{
  "formula": "PrTm4Cu4",
  "functional": "PBE-GGA",
  "state": "optimized geometry",
  "lattice_angstrom": [[8.9612, 0.0000, 0.0000], [0.0000, 8.9612, 0.0000], [0.0000, 0.0000, 5.5818]],
  "species": ["Pr", "Pr", "Tm", "Tm", "Tm", "Tm", "Tm", "Tm", "Tm", "Tm", "Cu", "Cu", "Cu", "Cu", "Cu", "Cu", "Cu", "Cu"],
  "fractional_positions": [[0.2500, 0.2500, 0.2500], [0.7500, 0.7500, 0.7500], [0.0860, 0.6537, 0.1499], [0.1537, 0.9140, 0.6499], [0.3463, 0.5860, 0.6499], [0.4140, 0.8463, 0.1499], [0.5860, 0.1537, 0.8501], [0.6537, 0.4140, 0.3501], [0.8463, 0.0860, 0.3501], [0.9140, 0.3463, 0.8501], [0.0361, 0.6028, 0.6387], [0.1028, 0.9639, 0.1387], [0.3972, 0.5361, 0.1387], [0.4639, 0.8972, 0.6387], [0.5361, 0.1028, 0.3613], [0.6028, 0.4639, 0.8613], [0.8972, 0.0361, 0.8613], [0.9639, 0.3972, 0.3613]],
  "spacegroup": "P4_2/n, No. 86",
  "ef_ev_per_atom": -0.045
}

---

no.,magnetization (μB per formula unit)
1,0.002
2,0.000
3,0.000
4,0.000
5,0.000
6,0.000
7,0.000
8,0.001